Record 1
DFT (PBE-GGA) results for a geometry-optimized V2BAsH structure.

## Properties
- symmetry = P4/mmm (123)

Unit cell a=4.081 b=4.081 c=3.909 alpha=90.00 beta=90.00 gamma=90.00
Fractional positions:
V 0.000 0.500 0.000
V 0.500 0.000 0.000
B 0.000 0.000 0.000
As 0.000 0.000 0.500
H 0.500 0.500 0.500

---

Record 2
DFT (PBE-GGA) results for a geometry-optimized CePr4Dy15 structure.

## Properties
- symmetry = P4/mmm (123)
- energy relative to the elements (meV/atom) = 30

Unit cell a=5.069 b=5.069 c=25.176 alpha=90.00 beta=90.00 gamma=90.00
Fractional positions:
Ce 0.000 0.000 0.000
Pr 0.000 0.000 0.198
Pr 0.000 0.000 0.399
Pr 0.000 0.000 0.601
Pr 0.000 0.000 0.802
Dy 0.000 0.500 0.097
Dy 0.000 0.500 0.299
Dy 0.000 0.500 0.500
Dy 0.000 0.500 0.701
Dy 0.000 0.500 0.903
Dy 0.500 0.000 0.097
Dy 0.500 0.000 0.299
Dy 0.500 0.000 0.500
Dy 0.500 0.000 0.701
Dy 0.500 0.000 0.903
Dy 0.500 0.500 0.000
Dy 0.500 0.500 0.199
Dy 0.500 0.500 0.399
Dy 0.500 0.500 0.601
Dy 0.500 0.500 0.801

---

Record 3
DFT (PBE-GGA) results for a geometry-optimized ThAl3Co structure.

## Properties
- symmetry = Pm-3m (221)
- energy above the most stable polymorph in this dataset (meV per atom) = 231
- energy relative to the elements (meV/atom) = -280

Unit cell a=4.564 b=4.564 c=4.564 alpha=90.00 beta=90.00 gamma=90.00
Fractional positions:
Th 0.000 0.000 0.000
Al 0.000 0.500 0.500
Al 0.500 0.000 0.500
Al 0.500 0.500 0.000
Co 0.500 0.500 0.500

---

Record 4
DFT (PBE-GGA) results for a geometry-optimized TiTlSnF6 structure.

## Properties
- symmetry = P-31c (163)
- raw formation energy (eV/atom) = -2.605

Unit cell a=6.150 b=6.150 c=10.685 alpha=90.00 beta=90.00 gamma=120.00
Fractional positions:
Ti 0.333 0.667 0.250
Ti 0.667 0.333 0.750
Tl 0.000 0.000 0.000
Tl 0.000 0.000 0.500
Sn 0.333 0.667 0.750
Sn 0.667 0.333 0.250
F 0.050 0.402 0.149
F 0.050 0.648 0.351
F 0.352 0.402 0.351
F 0.352 0.950 0.149
F 0.402 0.050 0.649
F 0.402 0.352 0.851
F 0.598 0.648 0.149
F 0.598 0.950 0.351
F 0.648 0.050 0.851
F 0.648 0.598 0.649
F 0.950 0.352 0.649
F 0.950 0.598 0.851

---

Record 5
DFT (PBE-GGA) results for a geometry-optimized Sm2AlAg3 structure.

## Properties
- symmetry = Cm (8)
- energy above the most stable polymorph in this dataset (meV per atom) = 0
- energy relative to the elements (meV/atom) = -322

Unit cell a=5.821 b=5.821 c=7.220 alpha=126.41 beta=126.41 gamma=47.57
Fractional positions:
Sm 0.000 0.000 0.000
Sm 0.081 0.081 0.586
Al 0.713 0.713 0.409
Ag 0.365 0.365 0.572
Ag 0.391 0.391 0.181
Ag 0.702 0.702 0.006

---

Record 6
DFT (PBE-GGA) results for a geometry-optimized LiZn2BiP structure.

## Properties
- symmetry = P4/mmm (123)
- energy relative to the elements (meV/atom) = 50

Unit cell a=4.757 b=4.757 c=4.674 alpha=90.00 beta=90.00 gamma=90.00
Fractional positions:
Li 0.000 0.000 0.000
Zn 0.000 0.500 0.500
Zn 0.500 0.000 0.500
Bi 0.500 0.500 0.000
P 0.000 0.000 0.500

---

Record 7
DFT (PBE-GGA) results for a geometry-optimized Ca2TeSe structure.

## Properties
- symmetry = Imm2 (44)
- raw formation energy (eV/atom) = -1.638
- energy above the most stable polymorph in this dataset (meV per atom) = 184

Unit cell a=7.908 b=7.908 c=7.908 alpha=150.76 beta=150.27 gamma=42.18
Fractional positions:
Ca 0.000 0.000 0.000
Ca 0.736 0.236 0.500
Te 0.331 0.831 0.500
Se 0.579 0.579 0.000

---

Record 8
DFT (PBE-GGA) results for a geometry-optimized KBH4 structure.

## Properties
- symmetry = P2/c (13)

Unit cell a=4.078 b=5.903 c=5.902 alpha=90.00 beta=90.36 gamma=90.00
Fractional positions:
K 0.000 0.249 0.250
K 0.000 0.751 0.750
B 0.500 0.251 0.750
B 0.500 0.749 0.250
H 0.326 0.372 0.630
H 0.326 0.628 0.130
H 0.331 0.130 0.872
H 0.331 0.870 0.372
H 0.669 0.130 0.628
H 0.669 0.870 0.128
H 0.674 0.372 0.870
H 0.674 0.628 0.370

---

Record 9
DFT (PBE-GGA) results for a geometry-optimized Nd6Ho6Tm structure.

## Properties
- symmetry = P6/mmm (191)
- energy relative to the elements (meV/atom) = 279

Unit cell a=6.734 b=6.734 c=11.388 alpha=90.00 beta=90.00 gamma=120.00
Fractional positions:
Nd 0.000 0.000 0.158
Nd 0.000 0.000 0.842
Nd 0.333 0.667 0.000
Nd 0.333 0.667 0.500
Nd 0.667 0.333 0.000
Nd 0.667 0.333 0.500
Ho 0.000 0.500 0.254
Ho 0.000 0.500 0.746
Ho 0.500 0.000 0.254
Ho 0.500 0.000 0.746
Ho 0.500 0.500 0.254
Ho 0.500 0.500 0.746
Tm 0.000 0.000 0.500

---

Record 10
DFT (PBE-GGA) results for a geometry-optimized Pr5Bi2H structure.

## Properties
- symmetry = I4mm (107)

Unit cell a=6.911 b=6.911 c=6.911 alpha=116.32 beta=116.32 gamma=96.50
Fractional positions:
Pr 0.000 0.000 0.000
Pr 0.000 0.000 0.496
Pr 0.000 0.504 0.000
Pr 0.504 0.000 0.000
Pr 0.504 0.504 0.504
Bi 0.003 0.503 0.500
Bi 0.503 0.003 0.500
H 0.735 0.735 0.000

---

Record 11
DFT (PBE-GGA) results for a geometry-optimized CsSrF3 structure.

## Properties
- symmetry = Cm (8)
- raw formation energy (eV/atom) = -3.432
- energy above the most stable polymorph in this dataset (meV per atom) = 1

Unit cell a=6.776 b=6.776 c=4.851 alpha=90.00 beta=90.00 gamma=90.01
Fractional positions:
Cs 0.000 0.000 0.000
Cs 0.501 0.501 0.000
Sr 0.000 0.500 0.501
Sr 0.500 0.000 0.501
F 0.000 0.500 0.001
F 0.210 0.210 0.501
F 0.290 0.710 0.501
F 0.500 0.000 0.001
F 0.710 0.290 0.501
F 0.790 0.790 0.501

---

Record 12
DFT (PBE-GGA) results for a geometry-optimized Er3CdO structure.

## Properties
- symmetry = Pm-3m (221)
- raw formation energy (eV/atom) = -1.320

Unit cell a=4.736 b=4.736 c=4.736 alpha=90.00 beta=90.00 gamma=90.00
Fractional positions:
Er 0.000 0.000 0.500
Er 0.000 0.500 0.000
Er 0.500 0.000 0.000
Cd 0.500 0.500 0.500
O 0.000 0.000 0.000

---

Record 13
DFT (PBE-GGA) results for a geometry-optimized Sm2TmScBi5 structure.

## Properties
- symmetry = P4/mmm (123)
- energy relative to the elements (meV/atom) = -46

Unit cell a=5.430 b=5.430 c=11.511 alpha=90.00 beta=90.00 gamma=90.00
Fractional positions:
Sm 0.000 0.000 0.221
Sm 0.000 0.000 0.779
Tm 0.500 0.500 0.000
Sc 0.500 0.500 0.500
Bi 0.000 0.000 0.500
Bi 0.000 0.500 0.000
Bi 0.500 0.000 0.000
Bi 0.500 0.500 0.260
Bi 0.500 0.500 0.740

---

Record 14
DFT (PBE-GGA) results for a geometry-optimized LaTlRh2Pb structure.

## Properties
- symmetry = P4/mmm (123)
- energy relative to the elements (meV/atom) = 558

Unit cell a=5.069 b=5.069 c=5.482 alpha=90.00 beta=90.00 gamma=90.00
Fractional positions:
La 0.000 0.000 0.000
Tl 0.500 0.500 0.500
Rh 0.000 0.500 0.500
Rh 0.500 0.000 0.500
Pb 0.500 0.500 0.000

---

Record 15
DFT (PBE-GGA) results for a geometry-optimized TbTmZr2 structure.

## Properties
- symmetry = P4/mmm (123)
- energy above the most stable polymorph in this dataset (meV per atom) = 140
- energy relative to the elements (meV/atom) = 213

Unit cell a=3.914 b=3.914 c=6.877 alpha=90.00 beta=90.00 gamma=90.00
Fractional positions:
Tb 0.000 0.000 0.000
Tm 0.000 0.000 0.500
Zr 0.500 0.500 0.272
Zr 0.500 0.500 0.728

---

Record 16
DFT (PBE-GGA) results for a geometry-optimized Tb2PmTh3Bi6 structure.

## Properties
- symmetry = C2/m (12)
- energy relative to the elements (meV/atom) = -735

Unit cell a=10.196 b=10.196 c=9.098 alpha=102.75 beta=102.75 gamma=25.88
Fractional positions:
Tb 0.167 0.167 0.333
Tb 0.833 0.833 0.667
Pm 0.500 0.500 0.000
Th 0.165 0.165 0.833
Th 0.500 0.500 0.500
Th 0.835 0.835 0.167
Bi 0.002 0.002 0.250
Bi 0.331 0.331 0.421
Bi 0.333 0.333 0.911
Bi 0.667 0.667 0.089
Bi 0.669 0.669 0.579
Bi 0.998 0.998 0.750

---

Record 17
DFT (PBE-GGA) results for a geometry-optimized Cs12Br5Cl3 structure.

## Properties
- symmetry = Ia-3d (230)
- raw formation energy (eV/atom) = -1.297

Unit cell a=18.823 b=18.823 c=18.823 alpha=109.47 beta=109.47 gamma=109.47
Fractional positions:
Cs 0.052 0.226 0.126
Cs 0.052 0.325 0.925
Cs 0.075 0.626 0.400
Cs 0.075 0.948 0.675
Cs 0.100 0.726 0.675
Cs 0.100 0.874 0.425
Cs 0.126 0.052 0.226
Cs 0.126 0.575 0.900
Cs 0.175 0.226 0.600
Cs 0.175 0.448 0.575
Cs 0.226 0.126 0.052
Cs 0.226 0.600 0.175
Cs 0.274 0.325 0.900
Cs 0.274 0.448 0.374
Cs 0.325 0.900 0.274
Cs 0.325 0.925 0.052
Cs 0.374 0.274 0.448
Cs 0.374 0.600 0.925
Cs 0.400 0.075 0.626
Cs 0.400 0.825 0.774
Cs 0.425 0.100 0.874
Cs 0.425 0.825 0.552
Cs 0.448 0.374 0.274
Cs 0.448 0.575 0.175
Cs 0.552 0.425 0.825
Cs 0.552 0.626 0.726
Cs 0.575 0.175 0.448
Cs 0.575 0.900 0.126
Cs 0.600 0.175 0.226
Cs 0.600 0.925 0.374
Cs 0.626 0.400 0.075
Cs 0.626 0.726 0.552
Cs 0.675 0.075 0.948
Cs 0.675 0.100 0.726
Cs 0.726 0.552 0.626
Cs 0.726 0.675 0.100
Cs 0.774 0.400 0.825
Cs 0.774 0.874 0.948
Cs 0.825 0.552 0.425
Cs 0.825 0.774 0.400
Cs 0.874 0.425 0.100
Cs 0.874 0.948 0.774
Cs 0.900 0.126 0.575
Cs 0.900 0.274 0.325
Cs 0.925 0.052 0.325
Cs 0.925 0.374 0.600
Cs 0.948 0.675 0.075
Cs 0.948 0.774 0.874
Br 0.000 0.000 0.000
Br 0.000 0.000 0.500
Br 0.000 0.500 0.000
Br 0.000 0.500 0.500
Br 0.125 0.750 0.875
Br 0.125 0.875 0.250
Br 0.250 0.125 0.875
Br 0.250 0.625 0.375
Br 0.375 0.250 0.625
Br 0.375 0.625 0.750
Br 0.500 0.000 0.000
Br 0.500 0.000 0.500
Br 0.500 0.500 0.000
Br 0.500 0.500 0.500
Br 0.625 0.375 0.250
Br 0.625 0.750 0.375
Br 0.750 0.375 0.625
Br 0.750 0.875 0.125
Br 0.875 0.125 0.750
Br 0.875 0.250 0.125
Cl 0.125 0.250 0.375
Cl 0.125 0.375 0.750
Cl 0.250 0.375 0.125
Cl 0.250 0.875 0.625
Cl 0.375 0.125 0.250
Cl 0.375 0.750 0.125
Cl 0.625 0.250 0.875
Cl 0.625 0.875 0.750
Cl 0.750 0.125 0.375
Cl 0.750 0.625 0.875
Cl 0.875 0.625 0.250
Cl 0.875 0.750 0.625

---

Record 18
DFT (PBE-GGA) results for a geometry-optimized Ho3Sn2H2 structure.

## Properties
- symmetry = P2_1/c (14)

Unit cell a=6.051 b=9.009 c=6.410 alpha=90.00 beta=121.55 gamma=90.00
Fractional positions:
Ho 0.000 0.000 0.000
Ho 0.000 0.500 0.500
Ho 0.329 0.082 0.633
Ho 0.329 0.418 0.133
Ho 0.671 0.582 0.867
Ho 0.671 0.918 0.367
Sn 0.208 0.731 0.326
Sn 0.208 0.769 0.826
Sn 0.792 0.231 0.174
Sn 0.792 0.269 0.674
H 0.366 0.070 0.314
H 0.366 0.430 0.814
H 0.634 0.570 0.186
H 0.634 0.930 0.686

---

Record 19
DFT (PBE-GGA) results for a geometry-optimized SrScIn2 structure.

## Properties
- symmetry = R-3m (166)
- energy relative to the elements (meV/atom) = -191

Unit cell a=10.361 b=10.361 c=10.361 alpha=20.29 beta=20.29 gamma=20.29
Fractional positions:
Sr 0.000 0.000 0.000
Sc 0.500 0.500 0.500
In 0.243 0.243 0.243
In 0.757 0.757 0.757

---

Record 20
DFT (PBE-GGA) results for a geometry-optimized KMn2Ir structure.

## Properties
- symmetry = R-3m (166)
- energy above the most stable polymorph in this dataset (meV per atom) = 210
- energy relative to the elements (meV/atom) = 703

Unit cell a=10.323 b=10.323 c=10.323 alpha=16.42 beta=16.42 gamma=16.42
Fractional positions:
K 0.000 0.000 0.000
Mn 0.232 0.232 0.232
Mn 0.768 0.768 0.768
Ir 0.500 0.500 0.500

---

In the order shown, the computed DFT total energy values come out to -28.49 -93.49 -27.15 -48.94 -23.67 -13.50 -17.18 -23.40 -56.92 -38.52 -25.31 -26.16 -40.06 -22.91 -25.34 -68.37 -50.10 -32.38 -14.25 -25.49 eV per formula unit.